An optimized crystal structure of Sc8CuRu2. Source: the Alexandria database, functional PBE-GGA.

M_tot   0.00 Bohr magnetons per cell
Calculated formation energy   -2.26 eV/f.u.
DOS(E_F)   12.1 states/eV/cell

Unit cell a=7.1794 b=7.1794 c=5.2198 alpha=99.44 beta=99.44 gamma=112.45
Closest atoms and distances in Å follow each position.
Fractional coordinates of all 11 atoms:
Sc: 0.0000 0.0000 0.0000  2 Ru 2.77, 1 Cu 2.88
Sc: 0.0468 0.3059 0.5906  2 Ru 2.65-2.68
Sc: 0.1489 0.6051 0.1868  1 Cu 2.77, 2 Ru 2.78-2.83
Sc: 0.3059 0.0468 0.5906  2 Ru 2.65-2.68
Sc: 0.4504 0.7127 0.7774  2 Ru 2.64-2.67
Sc: 0.6051 0.1489 0.1868  1 Cu 2.77, 2 Ru 2.78-2.83
Sc: 0.7127 0.4504 0.7774  2 Ru 2.64-2.67
Sc: 0.7425 0.7425 0.3711  2 Ru 2.78, 1 Cu 2.87
Cu: 0.3694 0.3694 0.2801  8 Sc 2.77-3.08
Ru: 0.0646 0.6919 0.6825  8 Sc 2.64-2.83
Ru: 0.6919 0.0646 0.6825  8 Sc 2.64-2.83


An optimized crystal structure of MnSb2SI. Source: the Alexandria database, functional PBE-GGA.

E_form (uncorrected)   0.5268 eV per atom
M_tot   2.09 Bohr magnetons per cell
Relative energy among the computed polymorphs   0.0000 eV per atom
DOS(E_F)   3.6 states/eV/cell

Unit cell a=5.0945 b=5.0945 c=5.0182 alpha=90.00 beta=90.00 gamma=90.00
Closest atoms and distances in Å follow each position.
Fractional coordinates of all 5 atoms:
Mn: 0.0000 0.0000 0.0000  2 I 2.51, 4 Sb 2.55
Sb: 0.0000 0.5000 0.0000  2 Mn 2.55
Sb: 0.5000 0.0000 0.0000  2 Mn 2.55
S: 0.5000 0.5000 0.5000  8 Sb 3.58, 4 I 3.60
I: 0.0000 0.0000 0.5000  2 Mn 2.51


An optimized crystal structure of Mg2CuCl. Source: the Alexandria database, functional PBE-GGA.

E_form (uncorrected)   -0.2673 eV per atom
M_tot   0.00 Bohr magnetons per cell
Relative energy among the computed polymorphs   0.2617 eV per atom
DOS(E_F)   0.0 states/eV/cell

Unit cell a=6.9637 b=6.9637 c=6.9853 alpha=90.00 beta=90.00 gamma=90.00
Closest atoms and distances in Å follow each position.
Fractional coordinates of all 16 atoms:
Mg: 0.2467 0.2500 0.1250  2 Cu 2.60, 2 Cl 2.63
Mg: 0.2500 0.7467 0.3750  2 Cu 2.60, 2 Cl 2.63
Mg: 0.2500 0.7533 0.8750  2 Cu 2.60, 2 Cl 2.63
Mg: 0.2533 0.2500 0.6250  2 Cu 2.60, 2 Cl 2.63
Mg: 0.7467 0.7500 0.6250  2 Cu 2.60, 2 Cl 2.63
Mg: 0.7500 0.2467 0.8750  2 Cu 2.60, 2 Cl 2.63
Mg: 0.7500 0.2533 0.3750  2 Cu 2.60, 2 Cl 2.63
Mg: 0.7533 0.7500 0.1250  2 Cu 2.60, 2 Cl 2.63
Cu: 0.0000 0.0000 0.0000  4 Mg 2.60
Cu: 0.0000 0.5000 0.2500  4 Mg 2.60
Cu: 0.5000 0.0000 0.7500  4 Mg 2.60
Cu: 0.5000 0.5000 0.5000  4 Mg 2.60
Cl: 0.0000 0.0000 0.5000  4 Mg 2.63
Cl: 0.0000 0.5000 0.7500  4 Mg 2.63
Cl: 0.5000 0.0000 0.2500  4 Mg 2.63
Cl: 0.5000 0.5000 0.0000  4 Mg 2.63


Among the records above, which one has the highest DOS(E_F)?
Sc8CuRu2


The lowest DOS(E_F) belongs to which entry?
Mg2CuCl